# 1
Here is a relaxed MgSi2Pb crystal from Alexandria via LeMat-Bulk. Energies are from PBE.

Output
SG   No. 99

Cell: 3.405 3.405 7.240 Å, 90.00 90.00 90.00°
Sites, in units of the cell vectors:
Mg (0.000, 0.000, 0.000)
Si (0.000, 0.000, 0.628)
Si (0.500, 0.500, 0.748)
Pb (0.500, 0.500, 0.306)

---

# 2
Here is a relaxed Mg2SiPb crystal from Alexandria via LeMat-Bulk. Energies are from PBE.

Output
SG   No. 123

Cell: 3.292 3.292 8.161 Å, 90.00 90.00 90.00°
Sites, in units of the cell vectors:
Mg (0.000, 0.000, 0.212)
Mg (0.000, 0.000, 0.788)
Si (0.500, 0.500, 0.000)
Pb (0.500, 0.500, 0.500)

---

# 3
Here is a relaxed Mg2SiPb crystal from Alexandria via LeMat-Bulk. Energies are from PBE.

Output
SG   No. 122

Cell: 6.453 6.453 6.453 Å, 102.52 102.52 124.50°
Sites, in units of the cell vectors:
Mg (0.069, 0.625, 0.944)
Mg (0.375, 0.319, 0.444)
Mg (0.681, 0.125, 0.056)
Mg (0.875, 0.931, 0.556)
Si (0.000, 0.000, 0.000)
Si (0.750, 0.250, 0.500)
Pb (0.250, 0.750, 0.500)
Pb (0.500, 0.500, 0.000)

---

# 4
Here is a relaxed Mg2SiPb crystal from Alexandria via LeMat-Bulk. Energies are from PBE.

Output
SG   No. 71

Cell: 5.286 5.286 5.286 Å, 131.69 124.12 76.94°
Sites, in units of the cell vectors:
Mg (0.232, 0.232, 0.000)
Mg (0.768, 0.768, 0.000)
Si (0.000, 0.500, 0.500)
Pb (0.500, 0.000, 0.500)

---

Number 1: DFT total energy -3.814 eV per atom, uncorrected formation energy 0.9 eV/f.u., energy above the most stable polymorph in this dataset 0.0 kJ per mole of atoms. Number 2: DFT total energy -3.016 eV per atom, uncorrected formation energy 0.3 eV/f.u., energy above the most stable polymorph in this dataset 0.0 kJ per mole of atoms. Number 3: DFT total energy -2.848 eV per atom, uncorrected formation energy 0.9 eV/f.u., energy above the most stable polymorph in this dataset 16.2 kJ per mole of atoms. Number 4: DFT total energy -2.971 eV per atom, uncorrected formation energy 0.4 eV/f.u., energy above the most stable polymorph in this dataset 4.4 kJ per mole of atoms.